(1)
The following is a DFT calculation (PBE-GGA) of a relaxed TlZnPb2 crystal.

a = 3.7131 Å, b = 5.7538 Å, c = 10.5151 Å
α = 90.00°, β = 90.00°, γ = 90.00°
Space group Cmm2 (No. 35)
Unique sites:
Tl 0.0000 0.0000 0.0000
Zn 0.0000 0.5000 0.7801
Pb 0.0000 0.0000 0.5543
Pb 0.0000 0.5000 0.2780

Properties
D(E_F), states/eV per cell: 3.1
Formation energy, eV per formula unit: 0.467
Final energy, eV per atom: -2.647



(2)
The following is a DFT calculation (PBE-GGA) of a relaxed B2MoH6 crystal.

a = 5.9114 Å, b = 5.9114 Å, c = 5.9114 Å
α = 90.00°, β = 90.00°, γ = 90.00°
Space group Fm-3m (No. 225)
Unique sites:
B 0.2500 0.2500 0.2500
Mo 0.0000 0.0000 0.0000
H 0.0000 0.0000 0.2932

Properties
D(E_F), states/eV per cell: 20.1
Final energy, eV per atom: -3.902
Relative energy among the computed polymorphs, meV/atom: 877



(3)
The following is a DFT calculation (PBE-GGA) of a relaxed NaMgPCl2 crystal.

a = 4.9525 Å, b = 4.9525 Å, c = 5.4709 Å
α = 90.00°, β = 90.00°, γ = 90.00°
Space group P4/mmm (No. 123)
Unique sites:
Na 0.0000 0.0000 0.0000
Mg 0.5000 0.5000 0.5000
P 0.0000 0.0000 0.5000
Cl 0.0000 0.5000 0.0000

Properties
Formation energy from raw total energies, kcal/mol of atoms: -2.43
D(E_F), states/eV per cell: 1.6
Final energy, eV per atom: -2.509
Relative energy among the computed polymorphs, meV/atom: 648



(4)
The following is a DFT calculation (PBE-GGA) of a relaxed Cs3YF crystal.

a = 6.2949 Å, b = 6.2949 Å, c = 6.2949 Å
α = 90.00°, β = 90.00°, γ = 90.00°
Space group Pm-3m (No. 221)
Unique sites:
Cs 0.0000 0.0000 0.5000
Y 0.5000 0.5000 0.5000
F 0.0000 0.0000 0.0000

Properties
Formation energy from raw total energies, kcal/mol of atoms: -11.85
D(E_F), states/eV per cell: 8.5
Final energy, eV per atom: -2.693
Relative energy among the computed polymorphs, meV/atom: 0



(5)
The following is a DFT calculation (PBE-GGA) of a relaxed Ni5Ir crystal.

a = 2.5856 Å, b = 2.5856 Å, c = 10.4483 Å
α = 90.00°, β = 90.00°, γ = 90.00°
Space group P4/mmm (No. 123)
Unique sites:
Ni 0.0000 0.0000 0.0000
Ni 0.0000 0.0000 0.3234
Ni 0.5000 0.5000 0.1598
Ir 0.5000 0.5000 0.5000

Properties
D(E_F), states/eV per cell: 10.7
Formation energy, eV per formula unit: 0.290
Final energy, eV per atom: -6.246
Relative energy among the computed polymorphs, meV/atom: 31



(6)
The following is a DFT calculation (PBE-GGA) of a relaxed Zn4Hg crystal.

a = 5.0757 Å, b = 5.0757 Å, c = 5.0757 Å
α = 90.00°, β = 90.00°, γ = 90.00°
Space group Pm-3m (No. 221)
Unique sites:
Zn 0.0000 0.0000 0.0000
Zn 0.0000 0.5000 0.5000
Hg 0.5000 0.5000 0.5000

Properties
D(E_F), states/eV per cell: 1.9
Formation energy, eV per formula unit: 2.426
Final energy, eV per atom: -0.594
Relative energy among the computed polymorphs, meV/atom: 383